12
Lattice="3.6899 -6.3896 0.0000 3.6899 6.3896 0.0000 -2.4601 0.0000 7.2243" Properties=species:S:1:pos:R:3 comment="PBE Ce6Te3AsP2, optimized geometry" rho_g_cm3=6.63 total_energy_ev_per_atom=-6.491 pbc="T T T"
Ce -0.0248 2.1714 5.6465
Ce 1.1807 0.0000 1.5634
Ce -0.0248 -2.1714 5.6465
Ce 4.9445 2.1714 1.5778
Ce 3.7390 0.0000 5.6609
Ce 4.9445 -2.1714 1.5778
Te -1.2300 0.0000 3.6121
Te 2.4599 2.0969 3.6121
Te 2.4599 -2.0969 3.6121
As 3.6899 0.0000 0.0000
P 3.6899 4.2544 0.0000
P 3.6899 -4.2544 0.0000

8
Lattice="7.4116 0.0000 0.0000 0.0000 4.2754 0.0000 -2.4675 0.0000 7.2303" Properties=species:S:1:pos:R:3 comment="PBE Ce4Te2AsP, optimized geometry" rho_g_cm3=6.68 total_energy_ev_per_atom=-6.451 pbc="T T T"
Ce 1.1943 0.0000 1.5737
Ce -0.0411 2.1377 5.6318
Ce 4.9852 2.1377 1.5985
Ce 3.7497 0.0000 5.6566
Te -1.2338 0.0000 3.6152
Te 2.4720 2.1377 3.6152
As 3.7058 0.0000 0.0000
P 0.0000 2.1377 0.0000

4
Lattice="2.0557 1.1869 6.7052 -2.0557 1.1869 6.7052 0.0000 -2.3737 6.7052" Properties=species:S:1:pos:R:3 comment="PBE CeYAsP, optimized geometry" rho_g_cm3=5.67 delta_e_f_ev_per_atom=-1.528 pbc="T T T"
Ce 0.0000 0.0000 0.0000
Y 0.0000 0.0000 9.9560
As 0.0000 0.0000 4.9582
P 0.0000 0.0000 15.0549

4
Lattice="1.9274 1.1128 6.9229 -1.9274 1.1128 6.9229 0.0000 -2.2255 6.9229" Properties=species:S:1:pos:R:3 comment="PBE CeZrAsP, optimized geometry" rho_g_cm3=6.29 delta_e_f_ev_per_atom=-1.287 pbc="T T T"
Ce 0.0000 0.0000 0.0000
Zr 0.0000 0.0000 3.7274
As 0.0000 0.0000 15.8738
P 0.0000 0.0000 12.0882